The following is a DFT calculation (GGA-PBE) of crystalline Zr2Ni3Os at its relaxed geometry.

a b c (Å): 4.934 4.934 5.100
angles (deg): 90.05 118.98 119.89
Element x y z (fractional)
Zr1 0.249 0.624 0.873
Zr2 0.751 0.376 0.127
Ni1 0.500 0.500 0.500
Ni2 0.500 0.000 0.500
Ni3 0.000 0.000 0.500
Os1 0.000 0.000 0.000

* space-group type: C2/m, No. 12
* energy of formation: -0.401 eV/atom
* calculated total energy: -8.013 eV per atom

---

The following is a DFT calculation (GGA-PBE) of crystalline ZrNiOs at its relaxed geometry.

a b c (Å): 4.136 4.136 3.334
angles (deg): 90.00 90.00 120.00
Element x y z (fractional)
Os1 0.000 0.000 0.500
Zr1 0.667 0.333 0.000
Ni1 0.333 0.667 0.500

* space-group type: P-6m2, No. 187
* energy of formation: -0.143 eV/atom
* calculated total energy: -8.663 eV per atom
* offset from the most stable computed form: 0.267 eV per atom

---

The following is a DFT calculation (GGA-PBE) of crystalline ZrNiOs at its relaxed geometry.

a b c (Å): 3.817 5.177 9.797
angles (deg): 90.00 90.00 90.00
Element x y z (fractional)
Zr1 0.000 0.000 0.192
Zr2 0.500 0.500 0.308
Zr3 0.500 0.500 0.692
Zr4 0.000 0.000 0.808
Os1 0.000 0.258 0.500
Os2 0.500 0.242 0.000
Os3 0.000 0.742 0.500
Os4 0.500 0.758 0.000
Ni1 0.000 0.500 0.116
Ni2 0.500 0.000 0.384
Ni3 0.000 0.500 0.884
Ni4 0.500 0.000 0.616

* space-group type: Immm, No. 71
* energy of formation: -0.188 eV/atom
* calculated total energy: -8.708 eV per atom
* offset from the most stable computed form: 0.222 eV per atom

---

The following is a DFT calculation (GGA-PBE) of crystalline ZrNiOs at its relaxed geometry.

a b c (Å): 5.401 4.097 9.031
angles (deg): 90.00 107.62 90.00
Element x y z (fractional)
Os1 0.138 0.500 0.815
Os2 0.862 0.000 0.685
Os3 0.138 0.000 0.315
Os4 0.862 0.500 0.185
Zr1 0.670 0.500 0.866
Zr2 0.330 0.000 0.634
Zr3 0.330 0.500 0.134
Zr4 0.670 0.000 0.366
Ni1 0.500 0.500 0.500
Ni2 0.000 0.000 0.000
Ni3 0.500 0.000 0.000
Ni4 0.000 0.500 0.500

* space-group type: C2/m, No. 12
* energy of formation: -0.180 eV/atom
* calculated total energy: -8.700 eV per atom
* offset from the most stable computed form: 0.230 eV per atom

---

The following is a DFT calculation (GGA-PBE) of crystalline ZrNiOs2 at its relaxed geometry.

a b c (Å): 4.824 4.824 4.725
angles (deg): 78.68 78.68 35.05
Element x y z (fractional)
Ni1 0.258 0.258 0.244
Os1 0.741 0.741 0.804
Os2 0.999 0.999 0.974
Zr1 0.502 0.502 0.478

* space-group type: Cm, No. 8
* energy of formation: -0.008 eV/atom
* calculated total energy: -9.206 eV per atom
* offset from the most stable computed form: 0.115 eV per atom

---

The following is a DFT calculation (GGA-PBE) of crystalline ZrNiOs at its relaxed geometry.

a b c (Å): 4.944 4.413 8.996
angles (deg): 90.00 101.72 90.00
Element x y z (fractional)
Os1 0.254 0.000 0.050
Os2 0.746 0.500 0.450
Os3 0.254 0.500 0.550
Os4 0.746 0.000 0.950
Zr1 0.199 0.500 0.872
Zr2 0.801 0.000 0.628
Zr3 0.199 0.000 0.372
Zr4 0.801 0.500 0.128
Ni1 0.343 0.500 0.224
Ni2 0.343 0.000 0.724
Ni3 0.657 0.500 0.776
Ni4 0.657 0.000 0.276

* space-group type: C2/m, No. 12
* energy of formation: -0.175 eV/atom
* calculated total energy: -8.695 eV per atom
* offset from the most stable computed form: 0.235 eV per atom

---

The following is a DFT calculation (GGA-PBE) of crystalline ZrNi3Os at its relaxed geometry.

a b c (Å): 4.460 4.460 4.460
angles (deg): 90.00 90.00 90.00
Element x y z (fractional)
Ni1 0.000 0.500 0.000
Ni2 0.000 0.000 0.500
Ni3 0.500 0.000 0.000
Zr1 0.500 0.500 0.500
Os1 0.000 0.000 0.000

* space-group type: Pm-3m, No. 221
* energy of formation: 0.876 eV/atom
* calculated total energy: -6.548 eV per atom
* offset from the most stable computed form: 0.000 eV per atom

---

The following is a DFT calculation (GGA-PBE) of crystalline ZrNiOs at its relaxed geometry.

a b c (Å): 5.142 4.229 8.756
angles (deg): 90.00 92.59 90.00
Element x y z (fractional)
Ni1 0.263 0.000 0.905
Ni2 0.737 0.500 0.595
Ni3 0.737 0.000 0.095
Ni4 0.263 0.500 0.405
Os1 0.500 0.000 0.500
Os2 0.500 0.500 0.000
Os3 0.000 0.500 0.000
Os4 0.000 0.000 0.500
Zr1 0.757 0.000 0.800
Zr2 0.243 0.000 0.200
Zr3 0.757 0.500 0.300
Zr4 0.243 0.500 0.700

* space-group type: C2/m, No. 12
* energy of formation: -0.367 eV/atom
* calculated total energy: -8.887 eV per atom
* offset from the most stable computed form: 0.043 eV per atom

---

The following is a DFT calculation (GGA-PBE) of crystalline ZrNiOs2 at its relaxed geometry.

a b c (Å): 4.913 4.913 4.913
angles (deg): 133.45 133.45 67.95
Element x y z (fractional)
Ni1 0.750 0.250 0.500
Os1 0.500 0.500 0.000
Os2 0.000 0.000 0.000
Zr1 0.250 0.750 0.500

* space-group type: I4/mmm, No. 139
* energy of formation: 0.048 eV/atom
* calculated total energy: -9.150 eV per atom
* offset from the most stable computed form: 0.171 eV per atom

---

The following is a DFT calculation (GGA-PBE) of crystalline ZrNiOs2 at its relaxed geometry.

a b c (Å): 3.197 3.197 6.011
angles (deg): 90.00 90.00 90.00
Element x y z (fractional)
Ni1 0.500 0.500 0.750
Zr1 0.500 0.500 0.250
Os1 0.000 0.000 0.965
Os2 0.000 0.000 0.535

* space-group type: P4/mmm, No. 123
* energy of formation: 0.053 eV/atom
* calculated total energy: -9.144 eV per atom
* offset from the most stable computed form: 0.176 eV per atom

---

The following is a DFT calculation (GGA-PBE) of crystalline ZrNi3Os at its relaxed geometry.

a b c (Å): 4.418 4.418 4.418
angles (deg): 90.00 90.00 90.00
Element x y z (fractional)
Ni1 0.000 0.000 0.500
Ni2 0.500 0.000 0.000
Ni3 0.000 0.500 0.000
Os1 0.500 0.500 0.500
Zr1 0.000 0.000 0.000

* space-group type: Pm-3m, No. 221
* energy of formation: 1.694 eV/atom
* calculated total energy: -5.731 eV per atom
* offset from the most stable computed form: 0.817 eV per atom

---

The following is a DFT calculation (GGA-PBE) of crystalline ZrNiOs3 at its relaxed geometry.

a b c (Å): 4.791 4.791 4.791
angles (deg): 90.00 90.00 90.00
Element x y z (fractional)
Zr1 0.000 0.000 0.000
Os1 0.000 0.000 0.500
Os2 0.500 0.000 0.000
Os3 0.000 0.500 0.000
Ni1 0.500 0.500 0.500

* space-group type: Pm-3m, No. 221
* energy of formation: 2.745 eV/atom
* calculated total energy: -6.859 eV per atom
* offset from the most stable computed form: 1.541 eV per atom

---

The following is a DFT calculation (GGA-PBE) of crystalline ZrNiOs at its relaxed geometry.

a b c (Å): 4.190 4.190 4.190
angles (deg): 60.00 60.00 60.00
Element x y z (fractional)
Os1 0.000 0.000 0.000
Ni1 0.750 0.750 0.750
Zr1 0.500 0.500 0.500

* space-group type: F-43m, No. 216
* energy of formation: 0.184 eV/atom
* calculated total energy: -8.336 eV per atom
* offset from the most stable computed form: 0.594 eV per atom

---

The following is a DFT calculation (GGA-PBE) of crystalline ZrNiOs at its relaxed geometry.

a b c (Å): 4.996 5.102 7.358
angles (deg): 90.00 90.00 90.00
Element x y z (fractional)
Ni1 0.250 0.250 0.750
Ni2 0.750 0.250 0.750
Ni3 0.250 0.750 0.250
Ni4 0.750 0.750 0.250
Zr1 0.500 0.750 0.627
Zr2 0.500 0.250 0.373
Zr3 0.000 0.250 0.127
Zr4 0.000 0.750 0.873
Os1 0.000 0.500 0.500
Os2 0.500 0.000 0.000
Os3 0.000 0.000 0.500
Os4 0.500 0.500 0.000

* space-group type: Imma, No. 74
* energy of formation: -0.410 eV/atom
* calculated total energy: -8.930 eV per atom
* offset from the most stable computed form: 0.000 eV per atom

---

The following is a DFT calculation (GGA-PBE) of crystalline ZrNiOs2 at its relaxed geometry.

a b c (Å): 9.341 9.341 9.341
angles (deg): 17.00 17.00 17.00
Element x y z (fractional)
Os1 0.491 0.491 0.491
Os2 0.009 0.009 0.009
Ni1 0.750 0.750 0.750
Zr1 0.250 0.250 0.250

* space-group type: R-3m, No. 166
* energy of formation: 0.274 eV/atom
* calculated total energy: -8.923 eV per atom
* offset from the most stable computed form: 0.398 eV per atom

---

The following is a DFT calculation (GGA-PBE) of crystalline Zr2NiOs at its relaxed geometry.

a b c (Å): 3.423 3.422 6.055
angles (deg): 90.00 90.00 90.00
Element x y z (fractional)
Zr1 0.000 0.000 0.961
Zr2 0.500 0.500 0.301
Ni1 0.000 0.000 0.486
Os1 0.500 0.500 0.752

* space-group type: P4mm, No. 99
* energy of formation: -0.081 eV/atom
* calculated total energy: -8.608 eV per atom

---

The following is a DFT calculation (GGA-PBE) of crystalline ZrNiOs2 at its relaxed geometry.

a b c (Å): 4.768 4.768 4.768
angles (deg): 130.88 130.86 72.02
Element x y z (fractional)
Os1 0.000 0.000 0.000
Os2 0.750 0.250 0.500
Ni1 0.250 0.750 0.500
Zr1 0.500 0.500 0.000

* space-group type: I-4m2, No. 119
* energy of formation: -0.064 eV/atom
* calculated total energy: -9.262 eV per atom
* offset from the most stable computed form: 0.059 eV per atom

---

The following is a DFT calculation (GGA-PBE) of crystalline ZrNiOs2 at its relaxed geometry.

a b c (Å): 9.328 9.328 9.328
angles (deg): 17.13 17.13 17.13
Element x y z (fractional)
Ni1 0.744 0.744 0.744
Zr1 0.497 0.497 0.497
Os1 0.258 0.258 0.258
Os2 0.001 0.001 0.001

* space-group type: R3m, No. 160
* energy of formation: 0.229 eV/atom
* calculated total energy: -8.968 eV per atom
* offset from the most stable computed form: 0.353 eV per atom

---

The following is a DFT calculation (GGA-PBE) of crystalline Zr2NiOs at its relaxed geometry.

a b c (Å): 4.607 5.686 5.686
angles (deg): 111.32 90.00 90.00
Element x y z (fractional)
Os1 0.250 0.875 0.125
Os2 0.750 0.125 0.875
Zr1 0.750 0.134 0.377
Zr2 0.250 0.866 0.623
Zr3 0.750 0.623 0.866
Zr4 0.250 0.377 0.134
Ni1 0.750 0.653 0.347
Ni2 0.250 0.347 0.653

* space-group type: Cmcm, No. 63
* energy of formation: -0.452 eV/atom
* calculated total energy: -8.979 eV per atom

---

The following is a DFT calculation (GGA-PBE) of crystalline Zr4Ni2Os at its relaxed geometry.

a b c (Å): 4.448 4.682 7.320
angles (deg): 90.00 72.31 90.00
Element x y z (fractional)
Ni1 0.794 0.500 0.413
Ni2 0.206 0.500 0.587
Os1 0.500 0.000 0.000
Zr1 0.392 0.500 0.217
Zr2 0.608 0.500 0.783
Zr3 0.122 0.000 0.756
Zr4 0.878 0.000 0.244

* space-group type: Cmmm, No. 65
* energy of formation: -0.129 eV/atom
* calculated total energy: -8.270 eV per atom